Record 1
Compound: BeBr2Cl
Source: Alexandria
Functional: PBE-GGA
Structure: relaxed

The structure in extended XYZ format:
```
4
Lattice="-1.232 -3.626 3.107 4.093 -2.455 -1.242 1.763 1.625 2.596" Properties=species:S:1:pos:R:3 pbc="T T T"
Be 2.928 -0.415 0.677
Br 0.000 0.000 0.000
Br 1.430 -3.041 0.933
Cl 0.265 -1.000 2.852
```

Volume in Å³/atom: 21.49
Raw formation energy in eV per atom: 0.69
Total moment in μB per atom: 0.000



Record 2
Compound: BaLiMo2
Source: Alexandria
Functional: PBE-GGA
Structure: relaxed

The structure in extended XYZ format:
```
8
Lattice="-0.381 1.687 -4.360 -3.139 -3.334 -1.016 -9.337 5.376 0.374" Properties=species:S:1:pos:R:3 pbc="T T T"
Mo -2.869 1.560 -1.668
Mo -4.439 -0.107 -2.176
Mo -9.107 2.581 -1.989
Mo -9.298 3.425 -4.169
Ba 0.000 0.000 0.000
Ba -5.739 3.120 -3.337
Li -1.760 -0.824 -2.688
Li -7.118 0.609 -1.665
```

Volume in Å³/atom: 28.21
Total moment in μB per atom: 0.000
Energy of formation from the pure elements in eV/atom: 1.245



Record 3
Compound: TeH2I5
Source: Alexandria
Functional: PBE-GGA
Structure: relaxed

The structure in extended XYZ format:
```
8
Lattice="-16.548 -2.960 3.467 -3.966 -3.259 -2.048 -9.802 -7.974 3.581" Properties=species:S:1:pos:R:3 pbc="T T T"
Te -12.857 -10.276 1.498
H -15.970 -6.337 3.509
H -10.083 -7.222 2.344
I -20.866 -8.533 2.287
I -15.056 -9.754 3.512
I -23.387 -11.360 5.330
I -12.284 -7.637 0.668
I -11.670 -4.586 -0.310
```

Calculated total energy in eV per atom: -2.1863
Volume in Å³/atom: 45.10
Total moment in μB per atom: 0.000



Record 4
Compound: Dy4AsI5
Source: Alexandria
Functional: PBE-GGA
Structure: relaxed

The structure in extended XYZ format:
```
10
Lattice="4.077 0.000 -0.888 -0.435 8.519 -1.999 -0.014 0.143 9.742" Properties=species:S:1:pos:R:3 pbc="T T T"
Dy 2.597 0.662 2.120
Dy 3.970 1.930 8.426
Dy 1.031 8.000 4.736
Dy -0.342 6.733 -1.570
As 2.039 0.000 -0.444
I 0.523 2.917 2.404
I 0.334 7.096 1.536
I 3.294 1.567 5.320
I 1.821 4.260 -1.443
I 3.105 5.746 4.452
```

Volume in Å³/atom: 33.95
Raw formation energy in eV per atom: -1.26
Total moment in μB per atom: 0.000



Record 5
Compound: BaNd2Tl2Ag2
Source: Alexandria
Functional: PBE-GGA
Structure: relaxed

The structure in extended XYZ format:
```
7
Lattice="-2.442 4.166 -1.549 -5.069 0.143 0.073 -2.272 4.984 8.687" Properties=species:S:1:pos:R:3 pbc="T T T"
Ba 0.000 0.000 0.000
Nd -2.361 3.620 5.158
Nd -7.422 5.673 2.053
Tl -7.338 6.967 5.402
Tl -2.446 2.326 1.809
Ag -4.949 3.765 1.325
Ag -4.834 5.528 5.887
```

Volume in Å³/atom: 31.32
Total moment in μB per atom: 0.000
Energy of formation from the pure elements in eV/atom: -0.239



Record 6
Compound: CdP2SCl
Source: Alexandria
Functional: PBE-GGA
Structure: relaxed

The structure in extended XYZ format:
```
5
Lattice="5.166 0.000 0.000 0.000 5.166 0.000 0.000 0.000 4.869" Properties=species:S:1:pos:R:3 pbc="T T T"
P 0.000 2.583 0.000
P 2.583 0.000 0.000
S 0.000 0.000 2.434
Cl 2.583 2.583 2.434
Cd 0.000 0.000 0.000
```

Volume in Å³/atom: 25.99
Raw formation energy in eV per atom: 1.18
Total moment in μB per atom: 0.397



Record 7
Compound: CaPb2Se
Source: Alexandria
Functional: PBE-GGA
Structure: relaxed

The structure in extended XYZ format:
```
8
Lattice="9.895 0.000 0.000 0.000 9.895 0.000 4.947 4.947 2.829" Properties=species:S:1:pos:R:3 pbc="T T T"
Pb 8.230 2.474 0.707
Pb 1.665 7.421 0.707
Pb 7.421 6.613 2.122
Pb 12.369 13.177 2.122
Ca 4.947 4.947 0.000
Ca 4.947 9.895 1.414
Se 0.000 0.000 0.000
Se 9.895 4.947 1.414
```

Volume in Å³/atom: 34.62
Raw formation energy in eV per atom: -0.39
Total moment in μB per atom: 0.000



Record 8
Compound: Pu4TePt2
Source: Alexandria
Functional: PBE-GGA
Structure: relaxed

The structure in extended XYZ format:
```
14
Lattice="7.288 0.000 -2.612 -3.629 6.339 -2.565 -0.030 0.000 7.742" Properties=species:S:1:pos:R:3 pbc="T T T"
Pu -2.219 5.774 0.329
Pu 1.651 4.790 0.474
Pu 5.054 3.735 1.588
Pu 0.983 1.620 5.269
Pu 1.666 4.719 -3.397
Pu 4.627 1.550 3.963
Pu 3.199 0.566 0.363
Pu -0.445 2.604 1.669
Te 0.000 0.000 0.000
Te 3.644 3.170 -1.306
Pt 5.918 0.775 1.251
Pt 2.274 2.395 2.557
Pt -0.475 5.564 2.597
Pt -0.460 3.945 -1.274
```

Volume in Å³/atom: 25.51
Raw formation energy in eV per atom: -0.66
Total moment in μB per atom: 3.333



Record 9
Compound: MgNbPd2
Source: Alexandria
Functional: PBE-GGA
Structure: relaxed

The structure in extended XYZ format:
```
4
Lattice="-1.915 -2.122 -0.339 2.549 -1.709 -3.704 2.529 -2.764 3.016" Properties=species:S:1:pos:R:3 pbc="T T T"
Nb -0.957 -1.061 -0.169
Mg 1.582 -3.298 -0.513
Pd 1.265 -1.382 1.508
Pd 1.274 -0.855 -1.852
```

Volume in Å³/atom: 16.65
Total moment in μB per atom: 0.000
Energy of formation from the pure elements in eV/atom: -0.401



Record 10
Compound: Na6P2Pt
Source: Alexandria
Functional: PBE-GGA
Structure: relaxed

The structure in extended XYZ format:
```
9
Lattice="-0.159 1.897 4.617 1.115 -2.882 3.924 9.081 2.109 2.148" Properties=species:S:1:pos:R:3 pbc="T T T"
Na 2.865 -0.037 5.516
Na 5.982 0.413 8.140
Na 8.844 1.209 7.912
Na 4.055 0.711 2.549
Na 7.171 1.161 5.173
Na 1.193 -0.085 2.777
P 3.244 -0.348 8.359
P 6.793 1.472 2.331
Pt 0.000 0.000 0.000
```

Volume in Å³/atom: 21.90
Total moment in μB per atom: 0.000
Energy of formation from the pure elements in eV/atom: -0.383